1.
A relaxed structure of Na2MgSn2. Source: Alexandria, functional PBE. Values from VASP.

Structure (Quantum ESPRESSO input):
```
&SYSTEM
  ibrav = 0, nat = 10, ntyp = 3
/
ATOMIC_SPECIES
Na 22.99 Na.upf
Sn 118.71 Sn.upf
Mg 24.30 Mg.upf
ATOMIC_POSITIONS crystal
Na 0.8343 0.3343 0.5000
Sn 0.1357 0.3643 0.0000
Mg 0.5000 0.5000 0.0000
Sn 0.3643 0.8643 0.0000
Sn 0.6357 0.1357 0.0000
Na 0.6657 0.8343 0.5000
Sn 0.8643 0.6357 0.0000
Na 0.1657 0.6657 0.5000
Mg 0.0000 0.0000 0.0000
Na 0.3343 0.1657 0.5000
CELL_PARAMETERS angstrom
-6.5847 -1.5040 3.4680
-2.3923 -3.7354 -6.1620
1.9197 -4.2219 1.8140
```

Calculated values
E_form = -0.131 eV/atom
Fermi-level density of states = 4.92 states/eV per cell
Offset from the most stable computed form = 31.9 meV/atom
Spin magnetization = 0.00 μB/f.u.
Space-group type = P4/mbm (127)



2.
A relaxed structure of Na3Mg2Sn3. Source: Alexandria, functional PBE. Values from VASP.

Structure (Quantum ESPRESSO input):
```
&SYSTEM
  ibrav = 0, nat = 16, ntyp = 3
/
ATOMIC_SPECIES
Sn 118.71 Sn.upf
Na 22.99 Na.upf
Mg 24.30 Mg.upf
ATOMIC_POSITIONS crystal
Sn 0.6001 0.2001 0.4624
Na 0.3642 0.7284 0.7500
Na 0.0615 0.1229 0.8805
Mg 0.7750 0.5499 0.9139
Sn 0.3999 0.7999 0.9624
Na 0.9385 0.8771 0.3805
Mg 0.2250 0.4501 0.4139
Sn 0.6001 0.2001 0.0376
Na 0.6358 0.2716 0.2500
Sn 0.6562 0.3124 0.7500
Mg 0.2250 0.4501 0.0861
Mg 0.7750 0.5499 0.5861
Sn 0.3438 0.6876 0.2500
Sn 0.3999 0.7999 0.5376
Na 0.9385 0.8771 0.1195
Na 0.0615 0.1229 0.6195
CELL_PARAMETERS angstrom
4.6036 0.0000 0.0000
-2.3018 6.4704 0.0000
0.0000 0.0000 15.4344
```

Calculated values
E_form = -0.138 eV/atom
Fermi-level density of states = 6.18 states/eV per cell
Spin magnetization = 0.00 μB/f.u.
Space-group type = Cmcm (63)



3.
A relaxed structure of NaMg2Sn. Source: Alexandria, functional PBE. Values from VASP.

Structure (Quantum ESPRESSO input):
```
&SYSTEM
  ibrav = 0, nat = 4, ntyp = 3
/
ATOMIC_SPECIES
Mg 24.30 Mg.upf
Sn 118.71 Sn.upf
Na 22.99 Na.upf
ATOMIC_POSITIONS crystal
Mg 0.0565 0.0565 0.8304
Sn 0.6850 0.6850 0.9450
Na 0.4872 0.4872 0.5384
Mg 0.2713 0.2713 0.1862
CELL_PARAMETERS angstrom
-0.6787 -4.8044 -0.6094
3.4211 -3.1610 1.4896
-1.4192 -2.9310 5.0669
```

Calculated values
E_form = -0.070 eV/atom
Fermi-level density of states = 1.17 states/eV per cell
Spin magnetization = 0.00 μB/f.u.
Space-group type = R3m (160)



4.
A relaxed structure of Na3Mg2Sn2. Source: Alexandria, functional PBE. Values from VASP.

Structure (Quantum ESPRESSO input):
```
&SYSTEM
  ibrav = 0, nat = 7, ntyp = 3
/
ATOMIC_SPECIES
Sn 118.71 Sn.upf
Mg 24.30 Mg.upf
Na 22.99 Na.upf
ATOMIC_POSITIONS crystal
Sn 0.1735 0.5858 0.7593
Mg 0.5682 0.2821 0.8503
Na 0.2804 0.1395 0.4200
Mg 0.4318 0.7179 0.1497
Na 0.0000 0.0000 0.0000
Na 0.7196 0.8605 0.5800
Sn 0.8265 0.4142 0.2407
CELL_PARAMETERS angstrom
-1.4595 1.4895 -4.6219
-0.1441 -4.9050 1.2772
-6.5398 1.4959 5.4086
```

Calculated values
E_form = -0.172 eV/atom
Fermi-level density of states = 2.31 states/eV per cell
Offset from the most stable computed form = 0.0 meV/atom
Spin magnetization = 0.00 μB/f.u.
Space-group type = C2/m (12)



5.
A relaxed structure of Na2MgSn3. Source: Alexandria, functional PBE. Values from VASP.

Structure (Quantum ESPRESSO input):
```
&SYSTEM
  ibrav = 0, nat = 12, ntyp = 3
/
ATOMIC_SPECIES
Sn 118.71 Sn.upf
Mg 24.30 Mg.upf
Na 22.99 Na.upf
ATOMIC_POSITIONS crystal
Sn 0.0000 0.1416 0.2833
Sn 0.5000 0.5000 0.0000
Sn 0.5000 0.8584 0.7167
Sn 0.0000 0.8584 0.7167
Sn 0.0000 0.5000 0.0000
Mg 0.7500 0.8090 0.0000
Na 0.2500 0.8351 0.3541
Mg 0.2500 0.1910 0.0000
Na 0.2500 0.4810 0.6459
Sn 0.5000 0.1416 0.2833
Na 0.7500 0.1649 0.6459
Na 0.7500 0.5190 0.3541
CELL_PARAMETERS angstrom
-0.4479 -4.6731 3.3733
8.3408 -1.9086 -1.5366
-2.1347 5.0571 6.7224
```

Calculated values
E_form = -0.035 eV/atom
Fermi-level density of states = 4.40 states/eV per cell
Offset from the most stable computed form = 112.0 meV/atom
Spin magnetization = 0.00 μB/f.u.
Space-group type = Cmcm (63)



6.
A relaxed structure of Na2MgSn2. Source: Alexandria, functional PBE. Values from VASP.

Structure (Quantum ESPRESSO input):
```
&SYSTEM
  ibrav = 0, nat = 5, ntyp = 3
/
ATOMIC_SPECIES
Na 22.99 Na.upf
Sn 118.71 Sn.upf
Mg 24.30 Mg.upf
ATOMIC_POSITIONS crystal
Na 0.7500 0.2500 0.5000
Sn 0.4056 0.4056 0.1889
Sn 0.5944 0.5944 0.8111
Mg 0.0000 0.0000 0.0000
Na 0.2500 0.7500 0.5000
CELL_PARAMETERS angstrom
-2.5361 2.2780 -2.7399
2.3247 -1.4910 -3.3913
-4.5982 -5.3008 -3.6416
```

Calculated values
E_form = 0.005 eV/atom
Fermi-level density of states = 2.14 states/eV per cell
Offset from the most stable computed form = 167.5 meV/atom
Spin magnetization = 0.00 μB/f.u.
Space-group type = I4/mmm (139)



7.
A relaxed structure of NaMg6Sn. Source: Alexandria, functional PBE. Values from VASP.

Structure (Quantum ESPRESSO input):
```
&SYSTEM
  ibrav = 0, nat = 8, ntyp = 3
/
ATOMIC_SPECIES
Mg 24.30 Mg.upf
Sn 118.71 Sn.upf
Na 22.99 Na.upf
ATOMIC_POSITIONS crystal
Mg 0.8360 0.6686 0.5000
Mg 0.6643 0.3357 0.0000
Mg 0.6696 0.8315 0.0000
Mg 0.3314 0.1640 0.5000
Sn 0.8337 0.1663 0.5000
Mg 0.1641 0.8359 0.0000
Na 0.3323 0.6677 0.5000
Mg 0.1685 0.3304 0.0000
CELL_PARAMETERS angstrom
-3.4185 4.1557 3.7454
2.3864 -5.5969 2.4420
4.3840 2.4359 1.2987
```

Calculated values
E_form = -0.014 eV/atom
Fermi-level density of states = 4.28 states/eV per cell
Offset from the most stable computed form = 0.0 meV/atom
Spin magnetization = 0.00 μB/f.u.
Space-group type = Amm2 (38)



8.
A relaxed structure of NaMg2Sn. Source: Alexandria, functional PBE. Values from VASP.

Structure (Quantum ESPRESSO input):
```
&SYSTEM
  ibrav = 0, nat = 4, ntyp = 3
/
ATOMIC_SPECIES
Sn 118.71 Sn.upf
Na 22.99 Na.upf
Mg 24.30 Mg.upf
ATOMIC_POSITIONS crystal
Sn 0.5000 0.5000 0.0000
Na 0.5000 0.5000 0.5000
Mg 0.0000 0.0000 0.7655
Mg 0.0000 0.0000 0.2345
CELL_PARAMETERS angstrom
3.9416 0.0000 0.0000
0.0000 3.9416 0.0000
0.0000 0.0000 6.5249
```

Calculated values
E_form = -0.029 eV/atom
Fermi-level density of states = 1.93 states/eV per cell
Spin magnetization = 0.00 μB/f.u.
Space-group type = P4/mmm (123)



9.
A relaxed structure of Na3Mg2Sn9. Source: Alexandria, functional PBE. Values from VASP.

Structure (Quantum ESPRESSO input):
```
&SYSTEM
  ibrav = 0, nat = 14, ntyp = 3
/
ATOMIC_SPECIES
Sn 118.71 Sn.upf
Na 22.99 Na.upf
Mg 24.30 Mg.upf
ATOMIC_POSITIONS crystal
Sn 0.1521 0.5520 0.1438
Sn 0.1521 0.1438 0.5520
Sn 0.3714 0.9903 0.2668
Na 0.2751 0.7249 0.7249
Sn 0.3714 0.2668 0.9903
Sn 0.0000 0.5000 0.5000
Sn 0.8479 0.4480 0.8562
Na 0.0000 0.0000 0.0000
Na 0.7249 0.2751 0.2751
Sn 0.6286 0.0097 0.7332
Sn 0.8479 0.8562 0.4480
Mg 0.5000 0.6527 0.3473
Sn 0.6286 0.7332 0.0097
Mg 0.5000 0.3473 0.6527
CELL_PARAMETERS angstrom
-2.8601 -0.0288 3.8209
2.9387 -7.3517 5.1252
4.9916 4.2984 6.7498
```

Calculated values
E_form = -0.116 eV/atom
Fermi-level density of states = 4.18 states/eV per cell
Spin magnetization = 0.00 μB/f.u.
Space-group type = Immm (71)



10.
A relaxed structure of Na3Mg2Sn2. Source: Alexandria, functional PBE. Values from VASP.

Structure (Quantum ESPRESSO input):
```
&SYSTEM
  ibrav = 0, nat = 7, ntyp = 3
/
ATOMIC_SPECIES
Sn 118.71 Sn.upf
Na 22.99 Na.upf
Mg 24.30 Mg.upf
ATOMIC_POSITIONS crystal
Sn 0.1379 0.5000 0.7261
Sn 0.8621 0.5000 0.2739
Na 0.2837 0.0000 0.4331
Mg 0.5760 0.0000 0.8497
Na 0.0000 0.0000 0.0000
Na 0.7163 0.0000 0.5669
Mg 0.4240 0.0000 0.1503
CELL_PARAMETERS angstrom
-4.3882 -2.1198 1.6795
1.2877 -0.3136 2.9688
-5.9394 8.6841 3.4935
```

Calculated values
E_form = -0.048 eV/atom
Fermi-level density of states = 2.04 states/eV per cell
Offset from the most stable computed form = 124.0 meV/atom
Spin magnetization = 0.00 μB/f.u.
Space-group type = P2/m (10)



11.
A relaxed structure of Na3Mg7Sn4. Source: Alexandria, functional PBE. Values from VASP.

Structure (Quantum ESPRESSO input):
```
&SYSTEM
  ibrav = 0, nat = 14, ntyp = 3
/
ATOMIC_SPECIES
Na 22.99 Na.upf
Mg 24.30 Mg.upf
Sn 118.71 Sn.upf
ATOMIC_POSITIONS crystal
Na 0.3100 0.1811 0.1988
Mg 0.8316 0.4148 0.9221
Mg 0.3213 0.8371 0.5202
Na 0.0000 0.5000 0.5000
Sn 0.8901 0.8971 0.3228
Sn 0.6650 0.4340 0.2361
Na 0.6900 0.8189 0.8012
Mg 0.1684 0.5852 0.0779
Sn 0.1099 0.1029 0.6772
Sn 0.3350 0.5660 0.7639
Mg 0.6787 0.1629 0.4798
Mg 0.0000 0.0000 0.0000
Mg 0.5132 0.7756 0.1981
Mg 0.4868 0.2244 0.8019
CELL_PARAMETERS angstrom
-3.1537 3.5250 0.3980
-6.5651 -2.0127 -5.8905
-7.0961 -3.7310 5.1197
```

Calculated values
E_form = -0.142 eV/atom
Fermi-level density of states = 3.02 states/eV per cell
Spin magnetization = 0.00 μB/f.u.
Space-group type = C2/m (12)



12.
A relaxed structure of NaMg2Sn2. Source: Alexandria, functional PBE. Values from VASP.

Structure (Quantum ESPRESSO input):
```
&SYSTEM
  ibrav = 0, nat = 5, ntyp = 3
/
ATOMIC_SPECIES
Sn 118.71 Sn.upf
Mg 24.30 Mg.upf
Na 22.99 Na.upf
ATOMIC_POSITIONS crystal
Sn 0.4999 0.4999 0.2866
Mg 0.8310 0.1690 0.5000
Na 0.0000 0.0000 0.0000
Mg 0.1690 0.8310 0.5000
Sn 0.5001 0.5001 0.7134
CELL_PARAMETERS angstrom
4.8222 -0.3914 0.0006
-1.9014 4.4488 0.0006
-0.0013 -0.0018 7.1711
```

Calculated values
E_form = -0.004 eV/atom
Fermi-level density of states = 2.11 states/eV per cell
Offset from the most stable computed form = 167.5 meV/atom
Spin magnetization = 0.00 μB/f.u.
Space-group type = Cmmm (65)